#w
Entry from the Alexandria database: a geometry-optimized CaYGa3 structure (PBE).

Cell and atoms, written as POSCAR:
```
CaYGa3
1.0
5.216 0.000 0.000
0.000 5.216 0.000
0.000 0.000 5.216
Y Ga Ca
1 3 1
Direct
0.500 0.500 0.500
0.000 0.500 0.000
0.500 0.000 0.000
0.000 0.000 0.500
0.000 0.000 0.000
```

The crystal system is cubic. The calculation puts the magnetization at 0.00 Bohr magnetons per cell.



#x
Entry from the Alexandria database: a geometry-optimized CaYGa3 structure (PBE).

Cell and atoms, written as POSCAR:
```
CaYGa3
1.0
4.056 0.000 -0.558
0.000 4.257 0.000
-0.228 0.000 13.350
Ga Y Ca
6 2 2
Direct
0.523 0.750 0.046
0.669 0.250 0.339
0.616 0.750 0.232
0.384 0.250 0.768
0.477 0.250 0.954
0.331 0.750 0.661
0.069 0.250 0.138
0.931 0.750 0.862
0.795 0.250 0.591
0.205 0.750 0.409
```

The crystal system is orthorhombic. The calculation puts the magnetization at 0.00 Bohr magnetons per cell.



Computed relative energies in units of kJ/mol of atoms: #w 97.6; #x 0.0



#w
Entry from the Alexandria database: a geometry-optimized Ca2YGa2 structure (PBE).

Cell and atoms, written as POSCAR:
```
Ca2YGa2
1.0
8.272 0.000 0.000
0.000 8.272 0.000
0.000 0.000 3.968
Ca Ga Y
4 4 2
Direct
0.668 0.832 0.500
0.168 0.668 0.500
0.832 0.332 0.500
0.332 0.168 0.500
0.871 0.629 0.000
0.371 0.871 0.000
0.129 0.371 0.000
0.629 0.129 0.000
0.000 0.000 0.000
0.500 0.500 0.000
```

The crystal system is tetragonal. The calculation puts the magnetization at 0.00 Bohr magnetons per cell.



#x
Entry from the Alexandria database: a geometry-optimized Ca2YGa2 structure (PBE).

Cell and atoms, written as POSCAR:
```
Ca2YGa2
1.0
-1.829 -8.382 -2.380
1.881 -2.755 8.255
-3.149 0.442 0.865
Ca Ga Y
4 4 2
Direct
0.874 0.626 0.000
0.626 0.126 0.000
0.126 0.374 0.000
0.374 0.874 0.000
0.326 0.174 0.500
0.174 0.674 0.500
0.826 0.326 0.500
0.674 0.826 0.500
0.500 0.500 0.000
0.000 0.000 0.000
```

The crystal system is tetragonal. The calculation puts the magnetization at 0.73 Bohr magnetons per cell.



Computed relative energies in units of kJ/mol of atoms: #w 0.0; #x 12.5



#w
Entry from the Alexandria database: a geometry-optimized CaY3Ga structure (PBE).

Cell and atoms, written as POSCAR:
```
CaY3Ga
1.0
5.527 0.000 0.000
0.000 5.527 0.000
0.000 0.000 5.527
Y Ga Ca
3 1 1
Direct
0.000 0.500 0.000
0.500 0.000 0.000
0.000 0.000 0.500
0.500 0.500 0.500
0.000 0.000 0.000
```

The crystal system is cubic. The calculation puts the magnetization at 0.00 Bohr magnetons per cell.



#x
Entry from the Alexandria database: a geometry-optimized CaY3Ga structure (PBE).

Cell and atoms, written as POSCAR:
```
CaY3Ga
1.0
5.606 0.000 0.000
0.000 5.606 0.000
0.000 0.000 5.606
Y Ca Ga
3 1 1
Direct
0.000 0.000 0.500
0.000 0.500 0.000
0.500 0.000 0.000
0.500 0.500 0.500
0.000 0.000 0.000
```

The crystal system is cubic. The calculation puts the magnetization at 0.00 Bohr magnetons per cell.



Computed relative energies in units of kJ/mol of atoms: #w 97.1; #x 0.0



#w
Entry from the Alexandria database: a geometry-optimized Ca2Zn3Ga structure (PBE).

Cell and atoms, written as POSCAR:
```
Ca2Zn3Ga
1.0
5.782 0.016 -0.001
4.006 4.170 -0.001
4.659 1.993 5.315
Ca Zn Ga
2 3 1
Direct
0.546 0.546 0.202
0.454 0.454 0.796
0.163 0.163 0.390
0.835 0.835 0.226
0.164 0.164 0.782
0.837 0.837 0.604
```

The crystal system is monoclinic. The calculation puts the magnetization at 0.00 Bohr magnetons per cell.



#x
Entry from the Alexandria database: a geometry-optimized Ca2Zn3Ga structure (PBE).

Cell and atoms, written as POSCAR:
```
Ca2Zn3Ga
1.0
5.817 -0.479 0.000
-0.705 5.794 0.000
-2.556 -2.657 7.839
Ca Zn Ga
4 6 2
Direct
0.750 0.250 0.500
0.248 0.248 0.000
0.250 0.750 0.500
0.752 0.752 0.000
0.666 0.168 0.834
0.832 0.334 0.166
0.167 0.167 0.334
0.833 0.833 0.666
0.334 0.832 0.166
0.168 0.666 0.834
0.334 0.334 0.668
0.666 0.666 0.332
```

The crystal system is orthorhombic. The calculation puts the magnetization at 0.00 Bohr magnetons per cell.



Computed relative energies in units of kJ/mol of atoms: #w 0.0; #x 2.2



#w
Entry from the Alexandria database: a geometry-optimized Ca8Zn2Ga structure (PBE).

Cell and atoms, written as POSCAR:
```
Ca8Zn2Ga
1.0
5.306 0.000 0.000
0.000 7.448 0.059
-2.653 -3.122 8.826
Ca Zn Ga
8 2 1
Direct
0.202 0.312 0.403
0.031 0.794 0.061
0.594 0.447 0.188
0.969 0.206 0.939
0.332 0.035 0.664
0.798 0.688 0.597
0.406 0.553 0.812
0.668 0.965 0.336
0.181 0.704 0.363
0.819 0.296 0.637
0.500 0.000 0.000
```

The crystal system is monoclinic. The calculation puts the magnetization at 0.00 Bohr magnetons per cell.



#x
Entry from the Alexandria database: a geometry-optimized Ca8Zn2Ga structure (PBE).

Cell and atoms, written as POSCAR:
```
Ca8Zn2Ga
1.0
-2.856 -5.395 0.273
-2.495 2.639 -7.526
7.969 -2.513 0.127
Ca Ga Zn
8 1 2
Direct
0.382 0.671 0.928
0.179 0.364 0.364
0.577 0.080 0.337
0.988 0.782 0.217
0.382 0.928 0.671
0.988 0.217 0.782
0.577 0.337 0.080
0.804 0.641 0.641
0.133 0.999 0.999
0.494 0.696 0.320
0.494 0.320 0.696
```

The crystal system is monoclinic. The calculation puts the magnetization at 0.00 Bohr magnetons per cell.



Computed relative energies in units of kJ/mol of atoms: #w 0.0; #x 4.7



#w
Entry from the Alexandria database: a geometry-optimized Ca4ZnGa2 structure (PBE).

Cell and atoms, written as POSCAR:
```
Ca4ZnGa2
1.0
5.662 0.000 0.000
0.000 5.662 0.000
2.831 2.831 7.265
Ca Ga Zn
4 2 1
Direct
0.000 0.500 0.000
0.797 0.797 0.406
0.500 0.000 0.000
0.203 0.203 0.594
0.593 0.593 0.814
0.407 0.407 0.186
0.000 0.000 0.000
```

The crystal system is tetragonal. The calculation puts the magnetization at 0.00 Bohr magnetons per cell.



#x
Entry from the Alexandria database: a geometry-optimized Ca4ZnGa2 structure (PBE).

Cell and atoms, written as POSCAR:
```
Ca4ZnGa2
1.0
4.939 0.000 1.543
2.229 4.408 1.543
-0.109 -0.067 9.026
Ca Zn Ga
4 1 2
Direct
0.875 0.875 0.376
0.625 0.625 0.126
0.125 0.125 0.624
0.375 0.375 0.874
0.000 0.000 0.000
0.748 0.748 0.757
0.252 0.252 0.243
```

The crystal system is trigonal. The calculation puts the magnetization at 0.00 Bohr magnetons per cell.



Computed relative energies in units of kJ/mol of atoms: #w 22.7; #x 0.0



#w
Entry from the Alexandria database: a geometry-optimized CaZn2Ga6 structure (PBE).

Cell and atoms, written as POSCAR:
```
CaZn2Ga6
1.0
4.252 0.000 0.000
0.000 4.252 0.000
0.000 0.000 9.670
Ga Zn Ca
6 2 1
Direct
0.000 0.000 0.500
0.000 0.500 0.287
0.000 0.500 0.713
0.500 0.000 0.713
0.500 0.500 0.500
0.500 0.000 0.287
0.500 0.500 0.126
0.500 0.500 0.874
0.000 0.000 0.000
```

The crystal system is tetragonal. The calculation puts the magnetization at 0.00 Bohr magnetons per cell.



#x
Entry from the Alexandria database: a geometry-optimized CaZn2Ga6 structure (PBE).

Cell and atoms, written as POSCAR:
```
CaZn2Ga6
1.0
-1.942 -2.232 -1.458
3.884 1.015 -6.723
2.387 -5.422 5.120
Zn Ga Ca
2 6 1
Direct
0.000 0.333 0.667
0.000 0.667 0.333
0.500 0.659 0.659
0.500 0.659 0.000
0.500 0.000 0.659
0.500 0.341 0.000
0.500 0.000 0.341
0.500 0.341 0.341
0.000 0.000 0.000
```

The crystal system is hexagonal. The calculation puts the magnetization at 0.00 Bohr magnetons per cell.



Computed relative energies in units of kJ/mol of atoms: #w 0.0; #x 6.5



#w
Entry from the Alexandria database: a geometry-optimized Ca3ZrGa structure (PBE).

Cell and atoms, written as POSCAR:
```
Ca3ZrGa
1.0
5.662 0.000 0.000
0.000 5.662 0.000
0.000 0.000 5.662
Ca Zr Ga
3 1 1
Direct
0.000 0.500 0.000
0.500 0.000 0.000
0.000 0.000 0.500
0.500 0.500 0.500
0.000 0.000 0.000
```

The crystal system is cubic. The calculation puts the magnetization at 2.97 Bohr magnetons per cell.



#x
Entry from the Alexandria database: a geometry-optimized Ca3ZrGa structure (PBE).

Cell and atoms, written as POSCAR:
```
Ca3ZrGa
1.0
5.708 0.000 0.000
0.000 5.708 0.000
0.000 0.000 5.708
Ca Zr Ga
3 1 1
Direct
0.500 0.000 0.000
0.000 0.000 0.500
0.000 0.500 0.000
0.000 0.000 0.000
0.500 0.500 0.500
```

The crystal system is cubic. The calculation puts the magnetization at 0.00 Bohr magnetons per cell.



Computed relative energies in units of kJ/mol of atoms: #w 0.0; #x 44.5